No. 1
DFT (GGA-PBE) results for crystalline La3Nd2Th4 at its relaxed geometry.

space group: C2/m, No. 12

Cell: 9.6783 9.6783 9.9437 Å, 115.05 115.05 21.61°
Fractional coordinates of all 9 atoms:
La1 0.0000 0.0000 0.0000
La2 0.1463 0.1463 0.6637
La3 0.8537 0.8537 0.3363
Nd1 0.3355 0.3355 0.9936
Nd2 0.6645 0.6645 0.0064
Th1 0.1828 0.1828 0.3415
Th2 0.4777 0.4777 0.6633
Th3 0.5223 0.5223 0.3367
Th4 0.8172 0.8172 0.6585

=====

No. 2
DFT (GGA-PBE) results for crystalline La4NdTh at its relaxed geometry.

space group: C2/m, No. 12
polymorph energy (0 for the lowest one): 0.0 meV/atom

Cell: 6.1291 6.1291 11.7423 Å, 116.53 116.53 33.49°
Fractional coordinates of all 6 atoms:
La1 0.1555 0.1555 0.3443
La2 0.3366 0.3366 0.1625
La3 0.6634 0.6634 0.8375
La4 0.8445 0.8445 0.6557
Nd1 0.0000 0.0000 0.0000
Th1 0.5000 0.5000 0.5000

=====

No. 3
DFT (GGA-PBE) results for crystalline La3NdTh2 at its relaxed geometry.

space group: C2/c, No. 15

Cell: 9.6684 9.6684 6.7356 Å, 90.10 90.10 137.97°
Fractional coordinates of all 12 atoms:
La1 0.0765 0.4196 0.7205
La2 0.1451 0.8549 0.7500
La3 0.4196 0.0765 0.2205
La4 0.5804 0.9235 0.7795
La5 0.8549 0.1451 0.2500
La6 0.9235 0.5804 0.2795
Nd1 0.3557 0.6443 0.2500
Nd2 0.6443 0.3557 0.7500
Th1 0.2382 0.2592 0.9433
Th2 0.2592 0.2382 0.4433
Th3 0.7408 0.7618 0.5567
Th4 0.7618 0.7408 0.0567

=====

No. 4
DFT (GGA-PBE) results for crystalline LaNdTh2 at its relaxed geometry.

space group: Fm-3m, No. 225
polymorph energy (0 for the lowest one): 201.5 meV/atom

Cell: 5.7626 5.7626 5.7626 Å, 60.00 60.00 60.00°
Fractional coordinates of all 4 atoms:
La1 0.0000 0.0000 0.0000
Nd1 0.5000 0.5000 0.5000
Th1 0.2500 0.2500 0.2500
Th2 0.7500 0.7500 0.7500

=====

No. 5
DFT (GGA-PBE) results for crystalline La15Nd4Th at its relaxed geometry.

space group: P4/mmm, No. 123

Cell: 5.2326 5.2326 26.3502 Å, 90.00 90.00 90.00°
Fractional coordinates of all 20 atoms:
La1 0.0000 0.0000 0.0000
La2 0.0000 0.0000 0.2018
La3 0.0000 0.0000 0.4009
La4 0.0000 0.0000 0.5991
La5 0.0000 0.0000 0.7982
La6 0.0000 0.5000 0.0958
La7 0.0000 0.5000 0.2994
La8 0.0000 0.5000 0.5000
La9 0.0000 0.5000 0.7006
La10 0.0000 0.5000 0.9042
La11 0.5000 0.0000 0.0958
La12 0.5000 0.0000 0.2994
La13 0.5000 0.0000 0.5000
La14 0.5000 0.0000 0.7006
La15 0.5000 0.0000 0.9042
Nd1 0.5000 0.5000 0.2001
Nd2 0.5000 0.5000 0.4001
Nd3 0.5000 0.5000 0.5999
Nd4 0.5000 0.5000 0.7999
Th1 0.5000 0.5000 0.0000

=====

No. 6
DFT (GGA-PBE) results for crystalline La2Nd2Th3 at its relaxed geometry.

space group: Cmmm, No. 65

Cell: 18.8421 18.8421 3.5785 Å, 90.00 90.00 169.10°
Fractional coordinates of all 7 atoms:
La1 0.1355 0.8645 0.0000
La2 0.8645 0.1355 0.0000
Nd1 0.2902 0.7098 0.5000
Nd2 0.7098 0.2902 0.5000
Th1 0.0000 0.0000 0.0000
Th2 0.4333 0.5667 0.5000
Th3 0.5667 0.4333 0.5000

=====

No. 7
DFT (GGA-PBE) results for crystalline LaNdTh at its relaxed geometry.

space group: P4/nmm, No. 129
polymorph energy (0 for the lowest one): 88.6 meV/atom

Cell: 4.2726 4.2726 11.6291 Å, 90.00 90.00 90.00°
Fractional coordinates of all 6 atoms:
La1 0.2500 0.2500 0.0988
La2 0.7500 0.7500 0.9012
Nd1 0.2500 0.2500 0.7223
Nd2 0.7500 0.7500 0.2777
Th1 0.2500 0.2500 0.4290
Th2 0.7500 0.7500 0.5710

=====

No. 8
DFT (GGA-PBE) results for crystalline LaNdTh3 at its relaxed geometry.

space group: Imma, No. 74

Cell: 8.3693 8.3693 8.3693 Å, 106.52 88.74 137.53°
Fractional coordinates of all 10 atoms:
La1 0.5000 0.0000 0.0000
La2 0.5000 0.5000 0.5000
Nd1 0.0463 0.2963 0.7500
Nd2 0.9537 0.7037 0.2500
Th1 0.0000 0.0000 0.0000
Th2 0.0000 0.3306 0.3306
Th3 0.0000 0.6694 0.6694
Th4 0.5000 0.0000 0.5000
Th5 0.5000 0.3306 0.8306
Th6 0.5000 0.6694 0.1694

=====

No. 9
DFT (GGA-PBE) results for crystalline LaNd4Th at its relaxed geometry.

space group: Cmcm, No. 63
polymorph energy (0 for the lowest one): 184.6 meV/atom

Cell: 6.6847 6.6847 10.9141 Å, 90.00 90.00 120.74°
Fractional coordinates of all 12 atoms:
La1 0.1790 0.8210 0.7500
La2 0.8210 0.1790 0.2500
Nd1 0.1777 0.3401 0.7500
Nd2 0.3337 0.6663 0.0635
Nd3 0.3337 0.6663 0.4365
Nd4 0.3401 0.1777 0.2500
Nd5 0.6599 0.8223 0.7500
Nd6 0.6663 0.3337 0.5635
Nd7 0.6663 0.3337 0.9365
Nd8 0.8223 0.6599 0.2500
Th1 0.0000 0.0000 0.0000
Th2 0.0000 0.0000 0.5000

=====

No. 10
DFT (GGA-PBE) results for crystalline LaNdTh at its relaxed geometry.

space group: P-6m2, No. 187
polymorph energy (0 for the lowest one): 98.3 meV/atom

Cell: 5.8317 5.8317 3.5309 Å, 90.00 90.00 120.00°
Fractional coordinates of all 3 atoms:
La1 0.0000 0.0000 0.0000
Nd1 0.6667 0.3333 0.5000
Th1 0.3333 0.6667 0.0000

=====

No. 11
DFT (GGA-PBE) results for crystalline La3Nd12Th at its relaxed geometry.

space group: P4/mmm, No. 123

Cell: 5.2113 5.2113 20.8558 Å, 90.00 90.00 90.00°
Fractional coordinates of all 16 atoms:
La1 0.0000 0.0000 0.0000
La2 0.0000 0.0000 0.2508
La3 0.0000 0.0000 0.7492
Nd1 0.0000 0.5000 0.1261
Nd2 0.0000 0.5000 0.3793
Nd3 0.0000 0.5000 0.6207
Nd4 0.0000 0.5000 0.8739
Nd5 0.5000 0.0000 0.1261
Nd6 0.5000 0.0000 0.3793
Nd7 0.5000 0.0000 0.6207
Nd8 0.5000 0.0000 0.8739
Nd9 0.5000 0.5000 0.0000
Nd10 0.5000 0.5000 0.2513
Nd11 0.5000 0.5000 0.5000
Nd12 0.5000 0.5000 0.7487
Th1 0.0000 0.0000 0.5000

=====

No. 12
DFT (GGA-PBE) results for crystalline La3Nd4Th2 at its relaxed geometry.

space group: P-1, No. 2
polymorph energy (0 for the lowest one): 0.0 meV/atom

Cell: 7.3515 8.2130 11.0154 Å, 76.87 89.52 76.88°
Fractional coordinates of all 18 atoms:
La1 0.0788 0.1816 0.0506
La2 0.2599 0.4990 0.4971
La3 0.4140 0.8374 0.2790
La4 0.5860 0.1626 0.7210
La5 0.7401 0.5010 0.5029
La6 0.9212 0.8184 0.9494
Nd1 0.0823 0.1652 0.7232
Nd2 0.0890 0.1660 0.3906
Nd3 0.2498 0.5058 0.8329
Nd4 0.4191 0.8214 0.9428
Nd5 0.5809 0.1786 0.0572
Nd6 0.7502 0.4942 0.1671
Nd7 0.9110 0.8340 0.6094
Nd8 0.9177 0.8348 0.2768
Th1 0.2567 0.4947 0.1716
Th2 0.4240 0.8363 0.6115
Th3 0.5760 0.1637 0.3885
Th4 0.7433 0.5053 0.8284

=====

Record-wise DFT formation energy values, in kJ per mole of atoms: 7 16 15 22 2 8 10 31 22 11 2 5